Entry from the Alexandria database: CaAg2Mo after structural relaxation (PBE).

The value obtained for the distance to the lowest polymorph of the same formula is 485 meV/atom. Its density is 6.3 g/cm³. The formation energy is 0.89 eV/atom. As for the volume: 92.4 Å³/f.u.

The space group is I-42d (No. 122) and the conventional cell measures 4.288, 4.288 and 20.096 Å, with angles of 90.00, 90.00 and 90.00 degrees. Symmetry generates all atoms from Ca at (0.000, 0.000, 0.000), Ag at (0.222, 0.250, 0.625) and Mo at (0.000, 0.000, 0.500).